Compound: Ba2AlMo3O8
Source: Alexandria
Functional: PBE with a Hubbard U
Structure: relaxed

Structure (POSCAR):
```
Ba2AlMo3O8
1.0
11.714 0.000 0.000
0.000 2.944 2.992
0.000 -2.944 2.992
Ba Al Mo O
2 1 3 8
Cartesian
2.079 0.000 0.000 Ba
9.635 0.000 0.000 Ba
5.857 0.000 5.221 Al
0.000 0.000 3.004 Mo
4.263 0.000 3.085 Mo
7.452 0.000 3.085 Mo
0.000 -1.480 1.518 O
0.000 1.480 1.518 O
2.134 0.000 2.989 O
4.502 -1.699 1.867 O
4.502 1.699 1.867 O
7.212 -1.699 1.867 O
7.212 1.699 1.867 O
9.581 0.000 2.989 O
```

Its density is 5.774 g cm⁻³. For the density of states at the Fermi level, the calculation gives 0.215 states/eV/atom. For the volume, the calculation gives 206.35 Å³ per cell. For the total energy, the calculation gives -6.821 eV/atom.